1.
Computed, not measured: a relaxed Pr6C2Se3S crystal at the PBE level of DFT.

The magnetization is 0.0 μB/cell. The calculation puts the total energy at -6.476 eV per atom. For the formation energy from raw total energies, the calculation gives -1.334 eV per atom.

The space group is C2/m (No. 12) and the conventional cell measures 18.058, 4.022 and 8.386 Å, with angles of 90.00, 105.21 and 90.00 degrees. The asymmetric unit holds Pr at (0.018, 0.000, 0.254), Pr at (0.169, 0.500, 0.120), Pr at (0.176, 0.500, 0.561), C at (0.167, 0.000, 0.332), Se at (0.000, 0.500, 0.500), Se at (0.162, 0.000, 0.833) and S at (0.000, 0.500, 0.000).

=====

2.
Computed, not measured: a relaxed Pr8CSe3S3 crystal at the PBE level of DFT.

The magnetization is 3.2 μB/cell. The calculation puts the total energy at -6.271 eV per atom. For the formation energy from raw total energies, the calculation gives -1.585 eV per atom.

The space group is R-3m (No. 166, hexagonal axes) and the conventional cell measures 8.2565, 8.2565 and 20.7140 Å, with angles of 90.00, 90.00 and 120.00 degrees. The asymmetric unit holds Pr at (0.0000, 0.0000, 0.2433), Pr at (0.0299, 0.5149, 0.2381), C at (0.0000, 0.0000, 0.5000), Se at (0.0000, 0.5000, 0.0000) and S at (0.0000, 0.5000, 0.5000).

=====

3.
Computed, not measured: a relaxed Pr8CSe4S3 crystal at the PBE level of DFT.

The magnetization is 0.0 μB/cell. The calculation puts the total energy at -6.340 eV per atom. For the formation energy from raw total energies, the calculation gives -1.728 eV per atom.

The space group is R-3m (No. 166, hexagonal axes) and the conventional cell measures 8.2572, 8.2572 and 20.7448 Å, with angles of 90.00, 90.00 and 120.00 degrees. The asymmetric unit holds Pr at (0.0000, 0.0000, 0.2434), Pr at (0.0228, 0.5114, 0.2394), C at (0.0000, 0.0000, 0.5000), Se at (0.0000, 0.0000, 0.0000), Se at (0.0000, 0.5000, 0.0000) and S at (0.0000, 0.5000, 0.5000).

=====

4.
Computed, not measured: a relaxed Pr8Te4CS3 crystal at the PBE level of DFT.

The magnetization is 0.0 μB/cell. The calculation puts the total energy at -6.045 eV per atom. For the formation energy from raw total energies, the calculation gives -1.519 eV per atom.

The space group is R-3m (No. 166, hexagonal axes) and the conventional cell measures 8.4215, 8.4215 and 21.8501 Å, with angles of 90.00, 90.00 and 120.00 degrees. The asymmetric unit holds Pr at (0.0000, 0.0000, 0.2368), Pr at (0.0233, 0.5117, 0.2339), Te at (0.0000, 0.0000, 0.0000), Te at (0.0000, 0.5000, 0.0000), C at (0.0000, 0.0000, 0.5000) and S at (0.0000, 0.5000, 0.5000).

=====

5.
Computed, not measured: a relaxed Pr4Te2CS crystal at the PBE level of DFT.

The magnetization is 0.0 μB/cell. The calculation puts the total energy at -6.114 eV per atom. For the formation energy from raw total energies, the calculation gives -1.270 eV per atom.

The space group is P2/m (No. 10) and the conventional cell measures 7.231, 4.136 and 7.674 Å, with angles of 90.00, 108.03 and 90.00 degrees. The asymmetric unit holds Pr at (0.215, 0.000, 0.199), Pr at (0.242, 0.500, 0.797), Te at (0.000, 0.000, 0.500), Te at (0.500, 0.500, 0.500), C at (0.000, 0.500, 0.000) and S at (0.500, 0.000, 0.000).

=====

6.
Computed, not measured: a relaxed Pr3SbC crystal at the PBE level of DFT.

The magnetization is 0.0 μB/cell. The calculation puts the total energy at -5.873 eV per atom. For the formation energy from raw total energies, the calculation gives -0.336 eV per atom.

The space group is Ama2 (No. 40) and the conventional cell measures 5.538, 15.450 and 7.140 Å, with angles of 90.00, 90.00 and 90.00 degrees. The asymmetric unit holds Pr at (0.250, 0.073, 0.000), Pr at (0.250, 0.302, 0.305), Pr at (0.250, 0.400, 0.853), Sb at (0.250, 0.130, 0.564) and C at (0.250, 0.414, 0.528).

=====

7.
Computed, not measured: a relaxed Pr3SbC crystal at the PBE level of DFT.

The magnetization is 0.0 μB/cell. The calculation puts the total energy at -6.097 eV per atom. For the formation energy from raw total energies, the calculation gives -0.560 eV per atom.

The space group is Pnma (No. 62) and the conventional cell measures 8.593, 4.142 and 15.003 Å, with angles of 90.00, 90.00 and 90.00 degrees. The asymmetric unit holds Pr at (0.023, 0.250, 0.100), Pr at (0.173, 0.250, 0.505), Pr at (0.207, 0.750, 0.297), Sb at (0.087, 0.750, 0.673) and C at (0.157, 0.250, 0.941).

=====

8.
Computed, not measured: a relaxed Pr6Sb2C crystal at the PBE level of DFT.

The magnetization is 3.3 μB/cell. The calculation puts the total energy at -5.545 eV per atom. For the formation energy from raw total energies, the calculation gives -0.418 eV per atom.

The space group is Amm2 (No. 38) and the conventional cell measures 4.078, 14.787 and 8.545 Å, with angles of 90.00, 90.00 and 90.00 degrees. The asymmetric unit holds Pr at (0.000, 0.000, 0.000), Pr at (0.000, 0.113, 0.660), Pr at (0.500, 0.000, 0.357), Pr at (0.500, 0.207, 0.980), Sb at (0.000, 0.167, 0.273) and C at (0.500, 0.000, 0.775).

=====

9.
Computed, not measured: a relaxed Pr3SbC crystal at the PBE level of DFT.

The magnetization is 0.0 μB/cell. The calculation puts the total energy at -6.020 eV per atom. For the formation energy from raw total energies, the calculation gives -0.483 eV per atom.

The space group is Pm-3m (No. 221) and the conventional cell measures 5.128, 5.128 and 5.128 Å, with angles of 90.00, 90.00 and 90.00 degrees. The asymmetric unit holds Pr at (0.000, 0.000, 0.500), Sb at (0.500, 0.500, 0.500) and C at (0.000, 0.000, 0.000).

=====

10.
Computed, not measured: a relaxed Pr4SbC crystal at the PBE level of DFT.

The magnetization is 0.0 μB/cell. The calculation puts the total energy at -5.747 eV per atom. For the formation energy from raw total energies, the calculation gives -0.337 eV per atom.

The space group is C2/c (No. 15) and the conventional cell measures 15.084, 6.307 and 7.565 Å, with angles of 90.00, 107.40 and 90.00 degrees. The asymmetric unit holds Pr at (0.095, 0.088, 0.451), Pr at (0.184, 0.434, 0.172), Sb at (0.000, 0.370, 0.750) and C at (0.250, 0.250, 0.500).

=====

11.
Computed, not measured: a relaxed Pr4SnSbC crystal at the PBE level of DFT.

The magnetization is 0.0 μB/cell. The calculation puts the total energy at -5.807 eV per atom. For the formation energy from raw total energies, the calculation gives -0.597 eV per atom.

The space group is Cmcm (No. 63) and the conventional cell measures 7.146, 16.509 and 7.145 Å, with angles of 90.00, 90.00 and 90.00 degrees. The asymmetric unit holds Pr at (0.000, 0.088, 0.250), Pr at (0.000, 0.411, 0.250), Pr at (0.250, 0.250, 0.000), Sn at (0.000, 0.110, 0.750), Sb at (0.000, 0.390, 0.750) and C at (0.000, 0.251, 0.250).

=====

12.
Computed, not measured: a relaxed Pr2Tm2Sb2C crystal at the PBE level of DFT.

The magnetization is 0.0 μB/cell. The calculation puts the total energy at -6.010 eV per atom. For the formation energy from raw total energies, the calculation gives -0.872 eV per atom.

The space group is I4/mmm (No. 139) and the conventional cell measures 4.741, 4.741 and 16.441 Å, with angles of 90.00, 90.00 and 90.00 degrees. The asymmetric unit holds Pr at (0.000, 0.000, 0.164), Tm at (0.000, 0.500, 0.000), Sb at (0.000, 0.000, 0.366) and C at (0.000, 0.000, 0.000).

=====

13.
Computed, not measured: a relaxed Pr2Y2Sb2C crystal at the PBE level of DFT.

The magnetization is 0.0 μB/cell. The calculation puts the total energy at -6.559 eV per atom. For the formation energy from raw total energies, the calculation gives -0.851 eV per atom.

The space group is I4/mmm (No. 139) and the conventional cell measures 4.806, 4.806 and 16.491 Å, with angles of 90.00, 90.00 and 90.00 degrees. The asymmetric unit holds Pr at (0.000, 0.000, 0.164), Y at (0.000, 0.500, 0.000), Sb at (0.000, 0.000, 0.364) and C at (0.000, 0.000, 0.000).

=====

14.
Computed, not measured: a relaxed PrScC crystal at the PBE level of DFT.

The magnetization is 0.0 μB/cell. The calculation puts the total energy at -6.758 eV per atom. The energy relative to the elements is 0.48 kcal/mol of atoms.

The space group is I4_1md (No. 109) and the conventional cell measures 4.567, 4.567 and 11.796 Å, with angles of 90.00, 90.00 and 90.00 degrees. The asymmetric unit holds Pr at (0.000, 0.000, 0.000), Sc at (0.000, 0.000, 0.537) and C at (0.000, 0.000, 0.350).

=====

15.
Computed, not measured: a relaxed Pr2Sc4C crystal at the PBE level of DFT.

The magnetization is 2.1 μB/cell. The calculation puts the total energy at -6.293 eV per atom. The energy relative to the elements is 0.18 kcal/mol of atoms.

The space group is I4/mmm (No. 139) and the conventional cell measures 4.488, 4.488 and 18.723 Å, with angles of 90.00, 90.00 and 90.00 degrees. The asymmetric unit holds Pr at (0.000, 0.000, 0.187), Sc at (0.000, 0.000, 0.381), Sc at (0.000, 0.500, 0.000) and C at (0.000, 0.000, 0.500).

=====

16.
Computed, not measured: a relaxed PrSc3C crystal at the PBE level of DFT.

The magnetization is 0.0 μB/cell. The calculation puts the total energy at -6.674 eV per atom. The energy relative to the elements is -1.71 kcal/mol of atoms.

The space group is Pm-3m (No. 221) and the conventional cell measures 4.733, 4.733 and 4.733 Å, with angles of 90.00, 90.00 and 90.00 degrees. The asymmetric unit holds Pr at (0.000, 0.000, 0.000), Sc at (0.000, 0.500, 0.500) and C at (0.500, 0.500, 0.500).

=====

17.
Computed, not measured: a relaxed PrScC crystal at the PBE level of DFT.

The magnetization is 0.0 μB/cell. The calculation puts the total energy at -6.955 eV per atom. The energy relative to the elements is -4.08 kcal/mol of atoms.

The space group is P3m1 (No. 156) and the conventional cell measures 3.5144, 3.5144 and 6.2856 Å, with angles of 90.00, 90.00 and 120.00 degrees. The asymmetric unit holds Pr at (0.0000, 0.0000, 0.0000), Sc at (0.6667, 0.3333, 0.4204) and C at (0.3333, 0.6667, 0.2549).

=====

18.
Computed, not measured: a relaxed PrScC crystal at the PBE level of DFT.

The magnetization is 0.0 μB/cell. The calculation puts the total energy at -7.029 eV per atom. The energy relative to the elements is -5.79 kcal/mol of atoms.

The space group is Pmmn (No. 59, origin choice 2) and the conventional cell measures 3.556, 4.617 and 8.302 Å, with angles of 90.00, 90.00 and 90.00 degrees. The asymmetric unit holds Pr at (0.250, 0.250, 0.176), Sc at (0.250, 0.250, 0.574) and C at (0.250, 0.750, 0.608).

=====

19.
Computed, not measured: a relaxed Pr2ScC crystal at the PBE level of DFT.

The magnetization is 0.1 μB/cell. The calculation puts the total energy at -6.087 eV per atom. The energy relative to the elements is 4.41 kcal/mol of atoms.

The space group is R-3m (No. 166, hexagonal axes) and the conventional cell measures 3.6053, 3.6053 and 29.2193 Å, with angles of 90.00, 90.00 and 120.00 degrees. The asymmetric unit holds Pr at (0.0000, 0.0000, 0.1169), Sc at (0.0000, 0.0000, 0.0000) and C at (0.0000, 0.0000, 0.5000).

=====

20.
Computed, not measured: a relaxed Pr2Sc2Sn2C crystal at the PBE level of DFT.

The magnetization is 0.0 μB/cell. The calculation puts the total energy at -6.431 eV per atom. The energy relative to the elements is -18.34 kcal/mol of atoms.

The space group is I4/mmm (No. 139) and the conventional cell measures 4.611, 4.611 and 16.420 Å, with angles of 90.00, 90.00 and 90.00 degrees. The asymmetric unit holds Pr at (0.000, 0.000, 0.160), Sc at (0.000, 0.500, 0.000), Sn at (0.000, 0.000, 0.370) and C at (0.000, 0.000, 0.000).